1.
A plane-wave DFT calculation with PBE was carried out for a relaxed Dy3HoSi4 crystal.

abc: 5.6922 3.8290 7.8918
angles: 90.00 90.01 90.00
Last column: nearest neighbours and their distance in Å.
Fractional coordinates of all 8 atoms:
Dy (0.0000, 0.0000, 0.0000)  7 Si 2.94-3.16
Dy (0.2300, 0.5000, 0.3582)  7 Si 2.94-3.15
Dy (0.5000, 0.5000, 0.8581)  7 Si 2.94-3.16
Ho (0.7300, 0.0000, 0.5000)  7 Si 2.94-3.15
Si (0.2440, 0.0000, 0.6409)  2 Si 2.49
Si (0.4860, 0.0000, 0.1411)  2 Si 2.49
Si (0.7439, 0.5000, 0.2173)  2 Si 2.49
Si (0.9859, 0.5000, 0.7170)  2 Si 2.49

## Properties
total DFT energy (no corrections): -46.73 eV for the cell shown


2.
A plane-wave DFT calculation with PBE was carried out for a relaxed Nd12Ni6Sn crystal.

abc: 8.6932 8.6932 8.6932
angles: 109.47 109.47 109.47
Last column: nearest neighbours and their distance in Å.
Fractional coordinates of all 19 atoms:
Nd (0.1202, 0.8146, 0.3056)  3 Ni 2.75-2.96
Nd (0.1854, 0.3056, 0.4910)  3 Ni 2.75-2.96
Nd (0.1854, 0.6944, 0.8798)  3 Ni 2.75-2.96
Nd (0.3056, 0.1202, 0.8146)  3 Ni 2.75-2.96
Nd (0.3056, 0.4910, 0.1854)  3 Ni 2.75-2.96
Nd (0.4910, 0.1854, 0.3056)  3 Ni 2.75-2.96
Nd (0.5090, 0.8146, 0.6944)  3 Ni 2.75-2.96
Nd (0.6944, 0.5090, 0.8146)  3 Ni 2.75-2.96
Nd (0.6944, 0.8798, 0.1854)  3 Ni 2.75-2.96
Nd (0.8146, 0.3056, 0.1202)  3 Ni 2.75-2.96
Nd (0.8146, 0.6944, 0.5090)  3 Ni 2.75-2.96
Nd (0.8798, 0.1854, 0.6944)  3 Ni 2.75-2.96
Ni (0.1223, 0.6223, 0.5000)  1 Ni 2.45, 2 Nd 2.75
Ni (0.3777, 0.5000, 0.8777)  1 Ni 2.45, 2 Nd 2.75
Ni (0.5000, 0.1223, 0.6223)  1 Ni 2.45, 2 Nd 2.75
Ni (0.5000, 0.8777, 0.3777)  1 Ni 2.45, 2 Nd 2.75
Ni (0.6223, 0.5000, 0.1223)  1 Ni 2.45, 2 Nd 2.75
Ni (0.8777, 0.3777, 0.5000)  1 Ni 2.45, 2 Nd 2.75
Sn (0.0000, 0.0000, 0.0000)  12 Nd 3.59

## Properties
total DFT energy (no corrections): -100.48 eV for the cell shown


3.
A plane-wave DFT calculation with PBE was carried out for a relaxed TmMg3 crystal.

abc: 6.6250 6.6250 5.1729
angles: 90.00 90.00 120.00
Last column: nearest neighbours and their distance in Å.
Fractional coordinates of all 8 atoms:
Tm (0.3333, 0.6667, 0.2500)  12 Mg 3.23-3.31
Tm (0.6667, 0.3333, 0.7500)  12 Mg 3.23-3.31
Mg (0.1640, 0.3280, 0.7500)  8 Mg 3.20-3.37, 4 Tm 3.23-3.31
Mg (0.1640, 0.8360, 0.7500)  8 Mg 3.20-3.37, 4 Tm 3.23-3.31
Mg (0.3280, 0.1640, 0.2500)  8 Mg 3.20-3.37, 4 Tm 3.23-3.31
Mg (0.6720, 0.8360, 0.7500)  8 Mg 3.20-3.37, 4 Tm 3.23-3.31
Mg (0.8360, 0.1640, 0.2500)  8 Mg 3.20-3.37, 4 Tm 3.23-3.31
Mg (0.8360, 0.6720, 0.2500)  8 Mg 3.20-3.37, 4 Tm 3.23-3.31

## Properties
total DFT energy (no corrections): -18.55 eV for the cell shown


4.
A plane-wave DFT calculation with PBE was carried out for a relaxed AcZn crystal.

abc: 5.2324 10.4969 10.4969
angles: 148.38 90.00 90.00
Last column: nearest neighbours and their distance in Å.
Fractional coordinates of all 10 atoms:
Ac (0.0000, 0.0000, 0.0000)  8 Zn 3.20-3.26
Ac (0.0000, 0.2624, 0.8868)  3 Zn 3.29-3.36
Ac (0.0000, 0.8868, 0.2624)  3 Zn 3.29-3.36
Ac (0.5000, 0.4245, 0.7525)  5 Zn 3.19-3.39
Ac (0.5000, 0.7525, 0.4245)  5 Zn 3.19-3.39
Zn (0.0000, 0.4315, 0.5807)  3 Zn 3.01-3.03, 5 Ac 3.20-3.36
Zn (0.0000, 0.5807, 0.4315)  3 Zn 3.01-3.03, 5 Ac 3.20-3.36
Zn (0.5000, 0.0087, 0.1873)  1 Zn 2.74
Zn (0.5000, 0.1873, 0.0087)  1 Zn 2.74
Zn (0.5000, 0.4586, 0.4586)  6 Zn 2.74-3.03

## Properties
formation energy: -0.1186 eV per atom


5.
A plane-wave DFT calculation with PBE was carried out for a relaxed AcHfAl crystal.

abc: 5.0375 5.0375 5.0375
angles: 60.00 60.00 60.00
Last column: nearest neighbours and their distance in Å.
Fractional coordinates of all 3 atoms:
Ac (0.0000, 0.0000, 0.0000)  4 Al 3.08
Hf (0.5000, 0.5000, 0.5000)  4 Al 3.08
Al (0.2500, 0.2500, 0.2500)  4 Hf 3.08, 4 Ac 3.08

## Properties
distance to the lowest polymorph of the same formula: 0.000 eV per atom


6.
A plane-wave DFT calculation with PBE was carried out for a relaxed TaAgPt2 crystal.

abc: 4.5383 4.5383 4.5383
angles: 60.00 60.00 60.00
Last column: nearest neighbours and their distance in Å.
Fractional coordinates of all 4 atoms:
Ta (0.0000, 0.0000, 0.0000)  4 Pt 2.78, 4 Ag 2.78
Ag (0.2500, 0.2500, 0.2500)  4 Pt 2.78, 4 Ta 2.78
Pt (0.5000, 0.5000, 0.5000)  4 Pt 2.78, 4 Ag 2.78
Pt (0.7500, 0.7500, 0.7500)  4 Pt 2.78, 4 Ta 2.78

## Properties
formation energy: -0.1127 eV per atom


Number 1: total magnetization 0.01 μB/f.u.. Number 2: total magnetization 0.00 μB/f.u.. Number 3: total magnetization 0.00 μB/f.u.. Number 4: total magnetization 0.00 μB/f.u.. Number 5: total magnetization 0.02 μB/f.u.. Number 6: total magnetization 0.00 μB/f.u..